Record 1
Cu4Ag5 | PBE | optimized geometry

Values from the calculation:
Polymorph energy (0 for the lowest one) in eV per atom: 0.058

a b c (Å): 4.869 4.869 8.399
angles (deg): 107.02 107.02 46.84
Sites, in units of the cell vectors:
Cu 0.000 0.000 0.000
Cu 0.001 0.001 0.660
Cu 0.340 0.340 0.107
Cu 0.993 0.993 0.314
Ag 0.338 0.338 0.432
Ag 0.343 0.343 0.779
Ag 0.659 0.659 0.209
Ag 0.664 0.664 0.547
Ag 0.671 0.671 0.888


Record 2
CuAg2 | PBE | optimized geometry

Values from the calculation:
Polymorph energy (0 for the lowest one) in eV per atom: 0.036

a b c (Å): 4.933 4.933 8.368
angles (deg): 108.93 108.93 48.56
Sites, in units of the cell vectors:
Cu 0.000 0.000 0.000
Cu 0.313 0.313 0.098
Cu 0.687 0.687 0.902
Ag 0.016 0.016 0.684
Ag 0.329 0.329 0.438
Ag 0.354 0.354 0.801
Ag 0.646 0.646 0.199
Ag 0.671 0.671 0.562
Ag 0.984 0.984 0.316


Record 3
CuAg | PBE | optimized geometry

Values from the calculation:
E in eV/cell: -31.9

a b c (Å): 9.207 9.207 5.832
angles (deg): 98.98 98.98 17.83
Sites, in units of the cell vectors:
Cu 0.000 0.000 0.000
Cu 0.007 0.007 0.582
Cu 0.195 0.195 0.129
Cu 0.408 0.408 0.737
Cu 0.598 0.598 0.856
Ag 0.193 0.193 0.646
Ag 0.419 0.419 0.257
Ag 0.590 0.590 0.320
Ag 0.802 0.802 0.437
Ag 0.806 0.806 0.946


Record 4
Cu3Ag7 | PBE | optimized geometry

Values from the calculation:
Polymorph energy (0 for the lowest one) in eV per atom: 0.053

a b c (Å): 9.920 9.920 5.787
angles (deg): 99.02 99.02 16.83
Sites, in units of the cell vectors:
Cu 0.000 0.000 0.000
Cu 0.201 0.201 0.587
Cu 0.799 0.799 0.413
Ag 0.000 0.000 0.500
Ag 0.206 0.206 0.121
Ag 0.396 0.396 0.197
Ag 0.400 0.400 0.701
Ag 0.600 0.600 0.299
Ag 0.604 0.604 0.803
Ag 0.794 0.794 0.879


Record 5
Cu3Ag2 | PBE | optimized geometry

Values from the calculation:
Polymorph energy (0 for the lowest one) in eV per atom: 0.050

a b c (Å): 9.407 9.407 5.568
angles (deg): 98.47 98.47 16.93
Sites, in units of the cell vectors:
Cu 0.102 0.102 0.023
Cu 0.105 0.105 0.576
Cu 0.301 0.301 0.144
Cu 0.699 0.699 0.856
Cu 0.895 0.895 0.424
Cu 0.898 0.898 0.977
Ag 0.304 0.304 0.662
Ag 0.493 0.493 0.745
Ag 0.507 0.507 0.255
Ag 0.696 0.696 0.338


Record 6
CuAg | PBE | optimized geometry

Values from the calculation:
E in eV/cell: -31.7

a b c (Å): 7.250 7.250 4.843
angles (deg): 97.00 97.00 140.81
Sites, in units of the cell vectors:
Cu 0.000 0.000 0.000
Cu 0.094 0.906 0.500
Cu 0.192 0.808 0.000
Cu 0.808 0.192 0.000
Cu 0.906 0.094 0.500
Ag 0.294 0.706 0.500
Ag 0.395 0.605 0.000
Ag 0.500 0.500 0.500
Ag 0.605 0.395 0.000
Ag 0.706 0.294 0.500


Record 7
Cu3Ag5 | PBE | optimized geometry

Values from the calculation:
Polymorph energy (0 for the lowest one) in eV per atom: 0.054

a b c (Å): 5.635 5.635 3.951
angles (deg): 90.00 90.00 91.00
Sites, in units of the cell vectors:
Cu 0.000 0.000 0.000
Cu 0.245 0.755 0.500
Cu 0.755 0.245 0.500
Ag 0.000 0.500 0.000
Ag 0.239 0.239 0.500
Ag 0.500 0.000 0.000
Ag 0.500 0.500 0.000
Ag 0.761 0.761 0.500


Record 8
CuAg | PBE | optimized geometry

Values from the calculation:
E in eV/cell: -57.4

a b c (Å): 2.791 2.791 39.865
angles (deg): 90.00 90.00 120.00
Sites, in units of the cell vectors:
Cu 0.000 0.000 0.000
Cu 0.000 0.000 0.148
Cu 0.000 0.000 0.852
Cu 0.333 0.667 0.050
Cu 0.333 0.667 0.197
Cu 0.333 0.667 0.901
Cu 0.667 0.333 0.099
Cu 0.667 0.333 0.803
Cu 0.667 0.333 0.950
Ag 0.000 0.000 0.315
Ag 0.000 0.000 0.500
Ag 0.000 0.000 0.685
Ag 0.333 0.667 0.377
Ag 0.333 0.667 0.562
Ag 0.333 0.667 0.747
Ag 0.667 0.333 0.253
Ag 0.667 0.333 0.438
Ag 0.667 0.333 0.623


Record 9
Cu2Ag7 | PBE | optimized geometry

Values from the calculation:
Polymorph energy (0 for the lowest one) in eV per atom: 0.039

a b c (Å): 7.552 7.552 7.552
angles (deg): 38.65 38.65 38.65
Sites, in units of the cell vectors:
Cu 0.167 0.167 0.167
Cu 0.833 0.833 0.833
Ag 0.054 0.730 0.392
Ag 0.270 0.608 0.946
Ag 0.392 0.054 0.730
Ag 0.500 0.500 0.500
Ag 0.608 0.946 0.270
Ag 0.730 0.392 0.054
Ag 0.946 0.270 0.608


Record 10
CuAg | PBE | optimized geometry

Values from the calculation:
E in eV/cell: -57.3

a b c (Å): 2.795 2.795 39.909
angles (deg): 91.26 91.26 60.29
Sites, in units of the cell vectors:
Cu 0.000 0.000 0.000
Cu 0.007 0.007 0.147
Cu 0.282 0.282 0.803
Cu 0.327 0.327 0.951
Cu 0.335 0.335 0.098
Cu 0.646 0.646 0.901
Cu 0.668 0.668 0.049
Cu 0.682 0.682 0.196
Cu 0.963 0.963 0.852
Ag 0.153 0.153 0.253
Ag 0.168 0.168 0.438
Ag 0.186 0.186 0.623
Ag 0.498 0.498 0.376
Ag 0.507 0.507 0.561
Ag 0.592 0.592 0.747
Ag 0.827 0.827 0.315
Ag 0.837 0.837 0.499
Ag 0.884 0.884 0.685


Record 11
CuAg | PBE | optimized geometry

Values from the calculation:
E in eV/cell: -25.3

a b c (Å): 4.781 4.781 7.895
angles (deg): 114.46 114.46 47.95
Sites, in units of the cell vectors:
Cu 0.000 0.000 0.000
Cu 0.004 0.004 0.496
Cu 0.259 0.259 0.882
Cu 0.501 0.501 0.240
Ag 0.249 0.249 0.367
Ag 0.504 0.504 0.756
Ag 0.746 0.746 0.624
Ag 0.761 0.761 0.123


Record 12
Cu7Ag2 | PBE | optimized geometry

Values from the calculation:
Polymorph energy (0 for the lowest one) in eV per atom: 0.015

a b c (Å): 16.349 16.349 16.349
angles (deg): 170.50 170.50 13.45
Sites, in units of the cell vectors:
Cu 0.000 0.000 0.000
Cu 0.224 0.224 0.000
Cu 0.327 0.327 0.000
Cu 0.449 0.449 0.000
Cu 0.551 0.551 0.000
Cu 0.673 0.673 0.000
Cu 0.776 0.776 0.000
Ag 0.112 0.112 0.000
Ag 0.888 0.888 0.000